The following is a DFT calculation (PBE-GGA) of crystalline InGa2NiI at its relaxed geometry.

Lattice parameters (Å, degrees): 4.777 4.777 5.184 90.00 90.00 90.00
Atoms (fractional coordinates):
In: 0.000 0.000 0.000
Ga: 0.000 0.500 0.500
Ga: 0.500 0.000 0.500
Ni: 0.000 0.000 0.500
I: 0.500 0.500 0.000

Summary:
The calculation puts the distance to the lowest polymorph of the same formula at 0.00 kcal/mol of atoms. The raw formation energy comes out at -215 meV per atom. The symmetry is P4/mmm (123). The calculation puts the energy at -3.440 eV per atom.